[1]
Computed, not measured: a relaxed CeGa3Rh2 crystal at the PBE-GGA level of DFT.

Cell and atoms, written as extended XYZ:
```
18
Lattice="4.213 0.000 0.000 -2.106 7.824 -2.606 0.000 -0.070 9.866" Properties=species:S:1:pos:R:3 pbc="T T T"
Ce 0.000 2.540 6.084
Ce 2.106 5.214 1.176
Ce 0.000 0.000 0.000
Ga 0.000 0.612 3.330
Ga 2.106 7.142 3.930
Ga 0.000 3.289 2.695
Ga 2.106 4.466 4.565
Ga 2.106 1.991 1.278
Ga 0.000 5.763 5.982
Ga 2.106 -0.035 4.933
Ga 0.000 5.096 -1.261
Ga 2.106 2.658 8.521
Rh 0.000 2.914 0.120
Rh 2.106 4.840 7.140
Rh 0.000 7.442 -0.331
Rh 2.106 0.312 7.591
Rh 0.000 5.624 3.496
Rh 2.106 2.130 3.764
```

## Properties
- Calculated volume: 324 Å³ per cell
- Total moment: 1.06 μB/cell
- Energy: -5.64 eV per atom

[2]
Computed, not measured: a relaxed KLiSbO3 crystal at the PBE-GGA level of DFT.

Cell and atoms, written as extended XYZ:
```
12
Lattice="3.406 0.000 0.000 -1.703 6.053 0.000 0.000 0.000 8.600" Properties=species:S:1:pos:R:3 pbc="T T T"
K 1.703 2.727 6.450
K 0.000 3.326 2.150
Li 0.000 5.483 6.450
Li 1.703 0.570 2.150
Sb 0.000 0.000 4.300
Sb 0.000 0.000 0.000
O 1.703 1.320 3.912
O 0.000 4.732 4.688
O 0.000 4.732 8.212
O 1.703 1.320 0.388
O 0.000 0.406 6.450
O 1.703 5.647 2.150
```

## Properties
- Calculated volume: 177 Å³ per cell
- Total moment: 0.00 μB/cell
- Energy: -5.19 eV per atom